The following is a PBE calculation of a geometry-optimized In4NiSn2 structure, from Alexandria.

Unit cell a=4.800 b=4.800 c=9.344 alpha=75.11 beta=75.11 gamma=90.00
Element x y z (fractional)
1 In 0.854 0.854 0.292
2 In 0.000 0.500 0.000
3 Sn 0.312 0.312 0.376
4 Ni 0.000 0.000 0.000
5 In 0.500 0.000 0.000
6 In 0.146 0.146 0.708
7 Sn 0.688 0.688 0.624

Calculated volume, Å³/cell: 200.6
DFT total energy, eV per atom: -3.43
ΔE_f, eV/f.u.: 0.8
Space group: I4/mmm (139)

The following is a PBE calculation of a geometry-optimized InNi2Sn structure, from Alexandria.

Unit cell a=7.042 b=7.042 c=5.775 alpha=52.44 beta=52.44 gamma=90.00
Element x y z (fractional)
1 Ni 0.632 0.125 0.250
2 Ni 0.118 0.625 0.250
3 Ni 0.875 0.882 0.750
4 In 0.500 0.500 0.000
5 In 0.250 0.750 0.500
6 Ni 0.375 0.368 0.750
7 Sn 0.750 0.250 0.500
8 Sn 0.000 0.000 0.000

Calculated volume, Å³/cell: 145.1
DFT total energy, eV per atom: -4.31
ΔE_f, eV/f.u.: 1.1
Space group: I-42d (122)

The following is a PBE calculation of a geometry-optimized In2Ni2Sn structure, from Alexandria.

Unit cell a=4.104 b=4.104 c=6.488 alpha=71.56 beta=71.56 gamma=90.00
Element x y z (fractional)
1 Sn 0.000 0.000 0.000
2 Ni 0.398 0.398 0.203
3 In 0.750 0.250 0.500
4 Ni 0.602 0.602 0.797
5 In 0.250 0.750 0.500

Calculated volume, Å³/cell: 97.7
DFT total energy, eV per atom: -4.06
ΔE_f, eV/f.u.: 0.7
Space group: I4/mmm (139)

The following is a PBE calculation of a geometry-optimized InNi8Sn2 structure, from Alexandria.

Unit cell a=3.698 b=7.442 c=6.935 alpha=122.45 beta=105.46 gamma=90.00
Element x y z (fractional)
1 In 0.500 0.000 0.000
2 Sn 0.153 0.653 0.306
3 Ni 0.330 0.583 0.660
4 Ni 0.330 0.077 0.660
5 Ni 0.000 0.243 0.000
6 Ni 0.670 0.923 0.340
7 Ni 0.826 0.826 0.652
8 Ni 0.670 0.417 0.340
9 Ni 0.000 0.757 0.000
10 Ni 0.174 0.174 0.348
11 Sn 0.847 0.347 0.694

Calculated volume, Å³/cell: 152.8
DFT total energy, eV per atom: -5.27
ΔE_f, eV/f.u.: -1.0
Space group: Immm (71)

The following is a PBE calculation of a geometry-optimized InNi2Sn structure, from Alexandria.

Unit cell a=3.210 b=3.210 c=6.203 alpha=90.00 beta=90.00 gamma=90.00
Element x y z (fractional)
1 Ni 0.000 0.000 0.742
2 Sn 0.500 0.500 0.500
3 In 0.500 0.500 0.000
4 Ni 0.000 0.000 0.258

Calculated volume, Å³/cell: 63.9
DFT total energy, eV per atom: -4.62
ΔE_f, eV/f.u.: -0.2
Space group: P4/mmm (123)

The following is a PBE calculation of a geometry-optimized In2Ni3Sn2 structure, from Alexandria.

Unit cell a=4.449 b=6.962 c=4.532 alpha=71.00 beta=90.06 gamma=108.67
Element x y z (fractional)
1 Sn 0.374 0.748 0.123
2 Sn 0.626 0.252 0.877
3 In 0.120 0.238 0.381
4 Ni 0.000 0.000 0.000
5 Ni 0.754 0.506 0.252
6 Ni 0.246 0.494 0.748
7 In 0.880 0.762 0.619

Calculated volume, Å³/cell: 124.9
DFT total energy, eV per atom: -4.50
ΔE_f, eV/f.u.: -0.7
Space group: P-1 (2)

The following is a PBE calculation of a geometry-optimized InNi15Sn4 structure, from Alexandria.

Unit cell a=3.735 b=3.735 c=18.655 alpha=90.00 beta=90.00 gamma=90.00
Site moments in Bohr magnetons follow the coordinates.
Element x y z (fractional)
1 Ni 0.000 0.500 0.300  0.01
2 Ni 0.000 0.500 0.700  0.01
3 Ni 0.500 0.000 0.899  0.04
4 Ni 0.500 0.500 0.000  0.06
5 Sn 0.000 0.000 0.600  0.00
6 Sn 0.000 0.000 0.800  0.00
7 Sn 0.000 0.000 0.200  0.00
8 Ni 0.500 0.500 0.799  0.02
9 Ni 0.500 0.000 0.700  0.01
10 Sn 0.000 0.000 0.400  0.00
11 In 0.000 0.000 0.000  0.00
12 Ni 0.000 0.500 0.899  0.04
13 Ni 0.500 0.000 0.500  0.00
14 Ni 0.500 0.500 0.600  0.00
15 Ni 0.500 0.000 0.101  0.04
16 Ni 0.500 0.500 0.400  0.00
17 Ni 0.000 0.500 0.500  0.00
18 Ni 0.500 0.500 0.201  0.02
19 Ni 0.000 0.500 0.101  0.04
20 Ni 0.500 0.000 0.300  0.01

Calculated volume, Å³/cell: 260.3
DFT total energy, eV per atom: -5.43
ΔE_f, eV/f.u.: -3.1
Space group: P4/mmm (123)

The following is a PBE calculation of a geometry-optimized InNi2Sn2 structure, from Alexandria.

Unit cell a=4.301 b=4.301 c=6.276 alpha=69.96 beta=69.96 gamma=90.00
Element x y z (fractional)
1 Ni 0.611 0.611 0.778
2 In 0.000 0.000 0.000
3 Sn 0.250 0.750 0.500
4 Ni 0.389 0.389 0.222
5 Sn 0.750 0.250 0.500

Calculated volume, Å³/cell: 101.6
DFT total energy, eV per atom: -4.33
ΔE_f, eV/f.u.: 0.7
Space group: I4/mmm (139)

The following is a PBE calculation of a geometry-optimized In4Ni15Sn structure, from Alexandria.

Unit cell a=3.737 b=3.737 c=18.738 alpha=90.00 beta=90.00 gamma=90.00
Site moments in Bohr magnetons follow the coordinates.
Element x y z (fractional)
1 Ni 0.500 0.000 0.700  0.26
2 Ni 0.000 0.500 0.099  0.15
3 Sn 0.000 0.000 0.000  -0.01
4 In 0.000 0.000 0.600  -0.02
5 Ni 0.500 0.500 0.600  0.27
6 Ni 0.500 0.000 0.300  0.26
7 In 0.000 0.000 0.400  -0.02
8 Ni 0.000 0.500 0.700  0.26
9 Ni 0.500 0.000 0.500  0.28
10 Ni 0.500 0.500 0.199  0.22
11 Ni 0.500 0.000 0.901  0.15
12 In 0.000 0.000 0.200  -0.02
13 Ni 0.000 0.500 0.901  0.15
14 In 0.000 0.000 0.800  -0.02
15 Ni 0.500 0.000 0.099  0.15
16 Ni 0.500 0.500 0.400  0.27
17 Ni 0.500 0.500 0.000  0.12
18 Ni 0.500 0.500 0.801  0.22
19 Ni 0.000 0.500 0.300  0.26
20 Ni 0.000 0.500 0.500  0.28

Calculated volume, Å³/cell: 261.7
DFT total energy, eV per atom: -5.15
ΔE_f, eV/f.u.: -1.4
Space group: P4/mmm (123)

The following is a PBE calculation of a geometry-optimized InNi2Sn structure, from Alexandria.

Unit cell a=4.418 b=5.231 c=9.122 alpha=90.00 beta=90.00 gamma=90.00
Element x y z (fractional)
1 Sn 0.000 0.500 0.002
2 In 0.500 0.500 0.332
3 Sn 0.500 0.500 0.666
4 Ni 0.000 0.250 0.251
5 Ni 0.000 0.500 0.501
6 In 0.500 0.000 0.166
7 Sn 0.000 0.000 0.498
8 Ni 0.000 0.750 0.251
9 Ni 0.000 0.251 0.749
10 Ni 0.000 0.000 0.000
11 In 0.500 0.000 0.836
12 Ni 0.000 0.749 0.749

Calculated volume, Å³/cell: 210.8
DFT total energy, eV per atom: -4.79
ΔE_f, eV/f.u.: -0.9
Space group: Pmm2 (25)

The following is a PBE calculation of a geometry-optimized In2Ni2Sn structure, from Alexandria.

Unit cell a=3.445 b=3.445 c=8.937 alpha=78.89 beta=78.89 gamma=90.00
Element x y z (fractional)
1 Ni 0.250 0.750 0.500
2 In 0.632 0.632 0.737
3 Ni 0.750 0.250 0.500
4 Sn 0.000 0.000 0.000
5 In 0.368 0.368 0.263

Calculated volume, Å³/cell: 102.1
DFT total energy, eV per atom: -4.09
ΔE_f, eV/f.u.: 0.6
Space group: I4/mmm (139)

The following is a PBE calculation of a geometry-optimized InNi5Sn structure, from Alexandria.

Unit cell a=3.690 b=3.690 c=7.421 alpha=90.00 beta=90.00 gamma=90.00
Element x y z (fractional)
1 In 0.000 0.000 0.500
2 Ni 0.000 0.500 0.754
3 Ni 0.500 0.000 0.246
4 Ni 0.500 0.000 0.754
5 Ni 0.500 0.500 0.500
6 Sn 0.500 0.500 0.000
7 Ni 0.000 0.500 0.246

Calculated volume, Å³/cell: 101.0
DFT total energy, eV per atom: -5.11
ΔE_f, eV/f.u.: -0.1
Space group: P4/mmm (123)